First-principles (GGA-PBEsol) data for crystalline MgSn2IrRh at its relaxed geometry, as listed in Alexandria via LeMat-Bulk.

Output
N(E_F)	4.144	states/eV/f.u.
calculated formation energy	0.561	eV/atom
M_tot	0.00	μB per formula unit
V	122.8	Å³ per cell

abc: 5.009 5.009 4.895
angles: 90.00 90.00 90.00
Element x y z (fractional)
1 Mg 0.000 0.000 0.000
2 Sn 0.000 0.500 0.500
3 Sn 0.500 0.000 0.500
4 Ir 0.500 0.500 0.500
5 Rh 0.500 0.500 0.000